*1*
Here is crystalline Al2Cr3 at its relaxed geometry from Alexandria. Energies are from GGA-PBE.

The structure belongs to space group Fdd2 (No. 43); the cell edges are 8.8436, 12.8733 and 4.6482 Å and the angles 90.00°, 90.00° and 90.00°. The inequivalent atoms are Al at (0.0350, 0.3005, 0.0000), Cr at (0.0000, 0.0000, 0.3942) and Cr at (0.0357, 0.4013, 0.4957).


*2*
Here is crystalline Al2Cr3 at its relaxed geometry from Alexandria. Energies are from GGA-PBE.

The structure belongs to space group R-3m (No. 166, hexagonal axes); the cell edges are 2.7299, 2.7299 and 30.9804 Å and the angles 90.00°, 90.00° and 120.00°. The inequivalent atoms are Al at (0.0000, 0.0000, 0.0978), Cr at (0.0000, 0.0000, 0.3066) and Cr at (0.0000, 0.0000, 0.5000).


Relative energies, meV/atom: *1* 0; *2* 78.


*1*
Here is crystalline AlCr4 at its relaxed geometry from Alexandria. Energies are from GGA-PBE.

The structure belongs to space group Im-3m (No. 229); the cell edges are 5.3345, 5.3345 and 5.3345 Å and the angles 90.00°, 90.00° and 90.00°. The inequivalent atoms are Al at (0.0000, 0.0000, 0.0000) and Cr at (0.2500, 0.2500, 0.2500).


*2*
Here is crystalline AlCr4 at its relaxed geometry from Alexandria. Energies are from GGA-PBE.

The structure belongs to space group I4/mmm (No. 139); the cell edges are 3.8269, 3.8269 and 9.4483 Å and the angles 90.00°, 90.00° and 90.00°. The inequivalent atoms are Al at (0.0000, 0.0000, 0.0000), Cr at (0.0000, 0.0000, 0.3829) and Cr at (0.0000, 0.5000, 0.2500).


*3*
Here is crystalline AlCr4 at its relaxed geometry from Alexandria. Energies are from GGA-PBE.

The structure belongs to space group I4/m (No. 87); the cell edges are 6.4593, 6.4593 and 2.8913 Å and the angles 90.00°, 90.00° and 90.00°. The inequivalent atoms are Al at (0.0000, 0.0000, 0.0000) and Cr at (0.1112, 0.6878, 0.5000).


*4*
Here is crystalline AlCr4 at its relaxed geometry from Alexandria. Energies are from GGA-PBE.

The structure belongs to space group Pm-3m (No. 221); the cell edges are 4.8322, 4.8322 and 4.8322 Å and the angles 90.00°, 90.00° and 90.00°. The inequivalent atoms are Al at (0.0000, 0.0000, 0.0000), Cr at (0.0000, 0.0000, 0.5000) and Cr at (0.5000, 0.5000, 0.5000).


Relative energies, meV/atom: *1* 1627; *2* 583; *3* 0; *4* 1749.


*1*
Here is crystalline Al5Cr4 at its relaxed geometry from Alexandria. Energies are from GGA-PBE.

The structure belongs to space group I4/mmm (No. 139); the cell edges are 8.9754, 8.9754 and 3.0089 Å and the angles 90.00°, 90.00° and 90.00°. The inequivalent atoms are Al at (0.0000, 0.0000, 0.0000), Al at (0.1672, 0.1672, 0.5000) and Cr at (0.0000, 0.3451, 0.0000).


*2*
Here is crystalline Al5Cr4 at its relaxed geometry from Alexandria. Energies are from GGA-PBE.

The structure belongs to space group P6_3/mcm (No. 193); the cell edges are 7.5553, 7.5553 and 5.1893 Å and the angles 90.00°, 90.00° and 120.00°. The inequivalent atoms are Al at (0.0000, 0.2923, 0.2500), Al at (0.3333, 0.6667, 0.0000), Cr at (0.0000, 0.0000, 0.0000) and Cr at (0.0000, 0.3720, 0.7500).


Relative energies, meV/atom: *1* 43; *2* 0.


*1*
Here is crystalline Al4Cr3 at its relaxed geometry from Alexandria. Energies are from GGA-PBE.

The structure belongs to space group P6/mmm (No. 191); the cell edges are 4.8722, 4.8722 and 4.7900 Å and the angles 90.00°, 90.00° and 120.00°. The inequivalent atoms are Al at (0.0000, 0.0000, 0.2491), Al at (0.3333, 0.6667, 0.5000) and Cr at (0.0000, 0.5000, 0.0000).


*2*
Here is crystalline Al4Cr3 at its relaxed geometry from Alexandria. Energies are from GGA-PBE.

The structure belongs to space group I4/mmm (No. 139); the cell edges are 3.0248, 3.0248 and 20.7909 Å and the angles 90.00°, 90.00° and 90.00°. The inequivalent atoms are Al at (0.0000, 0.0000, 0.0692), Al at (0.0000, 0.0000, 0.3492), Cr at (0.0000, 0.0000, 0.2209) and Cr at (0.0000, 0.0000, 0.5000).


Relative energies, meV/atom: *1* 122; *2* 0.


*1*
Here is crystalline AlCr3Cu at its relaxed geometry from Alexandria. Energies are from GGA-PBE.

The structure belongs to space group Pm-3m (No. 221); the cell edges are 4.7440, 4.7440 and 4.7440 Å and the angles 90.00°, 90.00° and 90.00°. The inequivalent atoms are Al at (0.0000, 0.0000, 0.0000), Cr at (0.0000, 0.0000, 0.5000) and Cu at (0.5000, 0.5000, 0.5000).


*2*
Here is crystalline AlCr3Cu at its relaxed geometry from Alexandria. Energies are from GGA-PBE.

The structure belongs to space group Pm-3m (No. 221); the cell edges are 4.5738, 4.5738 and 4.5738 Å and the angles 90.00°, 90.00° and 90.00°. The inequivalent atoms are Al at (0.0000, 0.0000, 0.0000), Cr at (0.0000, 0.5000, 0.5000) and Cu at (0.5000, 0.5000, 0.5000).


Relative energies, meV/atom: *1* 247; *2* 0.